# CePm10Er4 (PBE, relaxed)
data_CePm10Er4
_chemical_formula_sum 'Ce1 Pm10 Er4'
_symmetry_space_group_name_H-M 'P 1'
_symmetry_Int_Tables_number 1
_cell_length_a 8.732
_cell_length_b 8.732
_cell_length_c 8.732
_cell_angle_alpha 111.88
_cell_angle_beta 111.88
_cell_angle_gamma 104.75
loop_
_symmetry_equiv_pos_as_xyz
'x,y,z'
loop_
_atom_site_label
_atom_site_type_symbol
_atom_site_fract_x
_atom_site_fract_y
_atom_site_fract_z
Ce1 Ce 0.000 0.000 0.000
Pm1 Pm 0.130 0.460 0.902
Pm2 Pm 0.228 0.130 0.671
Pm3 Pm 0.250 0.750 0.500
Pm4 Pm 0.442 0.772 0.902
Pm5 Pm 0.460 0.558 0.329
Pm6 Pm 0.540 0.442 0.671
Pm7 Pm 0.558 0.228 0.098
Pm8 Pm 0.750 0.250 0.500
Pm9 Pm 0.772 0.870 0.329
Pm10 Pm 0.870 0.540 0.098
Er1 Er 0.062 0.333 0.395
Er2 Er 0.333 0.938 0.271
Er3 Er 0.667 0.062 0.729
Er4 Er 0.938 0.667 0.605
# - DOS at the Fermi energy: 1.669 states/eV/atom
# - Size of the total moment: 1.2 μB per formula unit
# - ΔE_f: 0.329 eV/atom